Entry 1:
Eu2YIn: relaxed, GGA-PBE.

crystal system = tetragonal
relative energy among the computed polymorphs = 50.7 meV/atom

Cell lengths 3.7170, 3.7170, 9.7795 Å; angles 90.00, 90.00, 90.00 degrees
Last column: nearest neighbours and their distance in Å.
Space group P4/mmm (No. 123)
One atom of each set of equivalent atoms:
Eu: 0.0000 0.0000 0.2239 x2  4 In 3.42, 4 Eu 3.72, 4 Y 3.77
Y: 0.5000 0.5000 0.5000 x1  4 Y 3.72, 8 Eu 3.77
In: 0.5000 0.5000 0.0000 x1  8 Eu 3.42, 4 In 3.72



Entry 2:
Eu2YIn: relaxed, GGA-PBE.

crystal system = trigonal
relative energy among the computed polymorphs = 272.5 meV/atom

Cell lengths 3.6174, 3.6174, 36.7131 Å; angles 90.00, 90.00, 120.00 degrees
Last column: nearest neighbours and their distance in Å.
Space group R-3m (No. 166, hexagonal axes)
One atom of each set of equivalent atoms:
Eu: 0.0000 0.0000 0.0940 x6  3 In 3.39, 1 Y 3.45, 6 Eu 3.62
Y: 0.0000 0.0000 0.0000 x3  2 Eu 3.45, 6 Y 3.62
In: 0.0000 0.0000 0.5000 x3  6 Eu 3.39, 6 In 3.62



Entry 3:
Eu2YIn: relaxed, GGA-PBE.

crystal system = tetragonal
relative energy among the computed polymorphs = 0.0 meV/atom

Cell lengths 4.9155, 4.9155, 5.2342 Å; angles 90.00, 90.00, 90.00 degrees
Last column: nearest neighbours and their distance in Å.
Space group P4/mmm (No. 123)
One atom of each set of equivalent atoms:
Eu: 0.0000 0.5000 0.0000 x2  4 Eu 3.48, 4 In 3.59, 4 Y 3.59
Y: 0.0000 0.0000 0.5000 x1  4 In 3.48, 8 Eu 3.59
In: 0.5000 0.5000 0.5000 x1  4 Y 3.48, 8 Eu 3.59



Entry 4:
Eu2YIn: relaxed, GGA-PBE.

crystal system = cubic
relative energy among the computed polymorphs = 114.9 meV/atom

Cell lengths 8.0242, 8.0242, 8.0242 Å; angles 90.00, 90.00, 90.00 degrees
Last column: nearest neighbours and their distance in Å.
Space group Fm-3m (No. 225)
One atom of each set of equivalent atoms:
Eu: 0.2500 0.2500 0.2500 x8  4 In 3.47, 4 Y 3.47
Y: 0.0000 0.0000 0.0000 x4  8 Eu 3.47
In: 0.0000 0.0000 0.5000 x4  8 Eu 3.47



Entry 5:
EuYZnIn: relaxed, GGA-PBE.

crystal system = cubic
final energy = -22.220 eV per formula unit

Cell lengths 7.5429, 7.5429, 7.5429 Å; angles 90.00, 90.00, 90.00 degrees
Last column: nearest neighbours and their distance in Å.
Space group F-43m (No. 216)
One atom of each set of equivalent atoms:
Eu: 0.0000 0.0000 0.0000 x4  4 In 3.27, 4 Zn 3.27
Y: 0.0000 0.0000 0.5000 x4  4 Zn 3.27, 4 In 3.27
Zn: 0.2500 0.2500 0.7500 x4  4 Eu 3.27, 4 Y 3.27
In: 0.2500 0.2500 0.2500 x4  4 Eu 3.27, 4 Y 3.27



Entry 6:
YbEuIn2: relaxed, GGA-PBE.

crystal system = cubic
final energy = -19.262 eV per formula unit

Cell lengths 7.7739, 7.7739, 7.7739 Å; angles 90.00, 90.00, 90.00 degrees
Last column: nearest neighbours and their distance in Å.
Space group Fm-3m (No. 225)
One atom of each set of equivalent atoms:
Yb: 0.0000 0.0000 0.0000 x4  8 In 3.37
Eu: 0.0000 0.0000 0.5000 x4  8 In 3.37
In: 0.2500 0.2500 0.2500 x8  4 Yb 3.37, 4 Eu 3.37